Entry 1:
Density functional theory data (PBE) for a geometry-optimized Ce3TcBi structure.

abc: 5.3048 5.3048 5.3048
angles: 90.00 90.00 90.00
Closest atoms and distances in Å follow each position.
Space group Pm-3m (No. 221)
Inequivalent atoms, fractional coordinates:
Ce 0.0000 0.0000 0.5000 [3 per cell]  2 Tc 2.65
Tc 0.0000 0.0000 0.0000 [1 per cell]  6 Ce 2.65
Bi 0.5000 0.5000 0.5000 [1 per cell]  12 Ce 3.75

Electronic total energy, eV/f.u.: -33.4
E above lowest polymorph, meV per atom: 95.5
Magnetic moment, μB/cell: 2.388
Fermi-level density of states, states/eV per atom: 3.208
ΔH_f (0 K), meV/atom: -275

---

Entry 2:
Density functional theory data (PBE) for a geometry-optimized CeTh3TcBi structure.

abc: 9.1043 4.6036 9.3645
angles: 90.00 118.21 90.00
Closest atoms and distances in Å follow each position.
Space group P2_1/m (No. 11)
Inequivalent atoms, fractional coordinates:
Ce 0.0981 0.2500 0.0352 [2 per cell]  2 Ce 2.79, 1 Th 2.86
Th 0.1028 0.2500 0.3427 [2 per cell]  1 Ce 2.86, 2 Tc 3.11
Th 0.3698 0.7500 0.0304 [2 per cell]  1 Tc 2.78
Th 0.4516 0.7500 0.6236 [2 per cell]  3 Tc 2.75-3.04
Tc 0.3025 0.7500 0.2901 [2 per cell]  4 Th 2.75-3.04
Bi 0.2047 0.2500 0.7278 [2 per cell]  8 Th 3.27-3.66, 1 Ce 3.45

Electronic total energy, eV/f.u.: -43.9
Magnetic moment, μB/cell: 0.000
Fermi-level density of states, states/eV per atom: 1.305
ΔH_f (0 K), meV/atom: -243

---

Entry 3:
Density functional theory data (PBE) for a geometry-optimized Ce2ThTcBi structure.

abc: 3.6222 16.9116 9.2593
angles: 90.00 90.00 90.00
Closest atoms and distances in Å follow each position.
Space group Cmcm (No. 63)
Inequivalent atoms, fractional coordinates:
Ce 0.0000 0.1437 0.0862 [8 per cell]  1 Tc 2.56
Th 0.0000 0.4592 0.2500 [4 per cell]  4 Tc 3.02
Tc 0.0000 0.0000 0.0000 [4 per cell]  2 Ce 2.56
Bi 0.0000 0.2141 0.7500 [4 per cell]  6 Ce 3.33-3.37, 2 Th 3.44, 2 Bi 3.62

Electronic total energy, eV/f.u.: -34.6
Magnetic moment, μB/cell: 3.724
Fermi-level density of states, states/eV per atom: 1.763
ΔH_f (0 K), meV/atom: -222

---

Copy entry 1 word for word.
Density functional theory data (PBE) for a geometry-optimized Ce3TcBi structure.

abc: 5.3048 5.3048 5.3048
angles: 90.00 90.00 90.00
Closest atoms and distances in Å follow each position.
Space group Pm-3m (No. 221)
Inequivalent atoms, fractional coordinates:
Ce 0.0000 0.0000 0.5000 [3 per cell]  2 Tc 2.65
Tc 0.0000 0.0000 0.0000 [1 per cell]  6 Ce 2.65
Bi 0.5000 0.5000 0.5000 [1 per cell]  12 Ce 3.75

Electronic total energy, eV/f.u.: -33.4
E above lowest polymorph, meV per atom: 95.5
Magnetic moment, μB/cell: 2.388
Fermi-level density of states, states/eV per atom: 3.208
ΔH_f (0 K), meV/atom: -275

---

What is the formula in the first record?
Ce3TcBi

---

Copy entry 3 word for word.
Density functional theory data (PBE) for a geometry-optimized Ce2ThTcBi structure.

abc: 3.6222 16.9116 9.2593
angles: 90.00 90.00 90.00
Closest atoms and distances in Å follow each position.
Space group Cmcm (No. 63)
Inequivalent atoms, fractional coordinates:
Ce 0.0000 0.1437 0.0862 [8 per cell]  1 Tc 2.56
Th 0.0000 0.4592 0.2500 [4 per cell]  4 Tc 3.02
Tc 0.0000 0.0000 0.0000 [4 per cell]  2 Ce 2.56
Bi 0.0000 0.2141 0.7500 [4 per cell]  6 Ce 3.33-3.37, 2 Th 3.44, 2 Bi 3.62

Electronic total energy, eV/f.u.: -34.6
Magnetic moment, μB/cell: 3.724
Fermi-level density of states, states/eV per atom: 1.763
ΔH_f (0 K), meV/atom: -222

---

Which value of Fermi-level density of states does entry 1 give?
3.208 states/eV per atom